*a*
! Ni2CO GGA+U relaxed; values from VASP
! space-group type = Fm-3m, No. 225
! N(E_F) = 8.9 states/eV/cell
&SYSTEM
  ibrav = 0, nat = 16, ntyp = 3
/
ATOMIC_SPECIES
Ni 58.69 Ni.upf
C 12.01 C.upf
O 16.00 O.upf
CELL_PARAMETERS angstrom
5.0875 0.0000 0.0000
0.0000 5.0875 0.0000
0.0000 0.0000 5.0875
ATOMIC_POSITIONS crystal
Ni 0.2500 0.2500 0.2500
Ni 0.2500 0.2500 0.7500
Ni 0.2500 0.7500 0.2500
Ni 0.2500 0.7500 0.7500
Ni 0.7500 0.2500 0.2500
Ni 0.7500 0.2500 0.7500
Ni 0.7500 0.7500 0.2500
Ni 0.7500 0.7500 0.7500
C 0.0000 0.0000 0.0000
C 0.0000 0.5000 0.5000
C 0.5000 0.0000 0.5000
C 0.5000 0.5000 0.0000
O 0.0000 0.0000 0.5000
O 0.0000 0.5000 0.0000
O 0.5000 0.0000 0.0000
O 0.5000 0.5000 0.5000


*b*
! Ni2CO GGA+U relaxed; values from VASP
! space-group type = I-42d, No. 122
! N(E_F) = 4.4 states/eV/cell
&SYSTEM
  ibrav = 0, nat = 16, ntyp = 3
/
ATOMIC_SPECIES
Ni 58.69 Ni.upf
C 12.01 C.upf
O 16.00 O.upf
CELL_PARAMETERS angstrom
4.6612 0.0000 0.0000
0.0000 4.6612 0.0000
0.0000 0.0000 7.8382
ATOMIC_POSITIONS crystal
Ni 0.2338 0.2500 0.1250
Ni 0.2500 0.7338 0.3750
Ni 0.2500 0.7662 0.8750
Ni 0.2662 0.2500 0.6250
Ni 0.7338 0.7500 0.6250
Ni 0.7500 0.2338 0.8750
Ni 0.7500 0.2662 0.3750
Ni 0.7662 0.7500 0.1250
C 0.0000 0.0000 0.0000
C 0.0000 0.5000 0.2500
C 0.5000 0.0000 0.7500
C 0.5000 0.5000 0.5000
O 0.0000 0.0000 0.5000
O 0.0000 0.5000 0.7500
O 0.5000 0.0000 0.2500
O 0.5000 0.5000 0.0000


Which structure is most stable, and how do the rest compare? From most to least stable: *b*, *a*.


*a*
! NiPCO2 GGA+U relaxed; values from VASP
! space-group type = P4/mmm, No. 123
! N(E_F) = 2.8 states/eV/cell
&SYSTEM
  ibrav = 0, nat = 5, ntyp = 4
/
ATOMIC_SPECIES
Ni 58.69 Ni.upf
P 30.97 P.upf
C 12.01 C.upf
O 16.00 O.upf
CELL_PARAMETERS angstrom
3.4258 0.0000 0.0000
0.0000 3.4258 0.0000
0.0000 0.0000 4.1102
ATOMIC_POSITIONS crystal
Ni 0.0000 0.0000 0.0000
P 0.5000 0.5000 0.0000
C 0.5000 0.5000 0.5000
O 0.0000 0.5000 0.5000
O 0.5000 0.0000 0.5000


*b*
! NiPCO2 GGA+U relaxed; values from VASP
! space-group type = P4/mmm, No. 123
! N(E_F) = 0.9 states/eV/cell
&SYSTEM
  ibrav = 0, nat = 5, ntyp = 4
/
ATOMIC_SPECIES
Ni 58.69 Ni.upf
P 30.97 P.upf
C 12.01 C.upf
O 16.00 O.upf
CELL_PARAMETERS angstrom
3.3498 0.0000 0.0000
0.0000 3.3498 0.0000
0.0000 0.0000 4.0299
ATOMIC_POSITIONS crystal
Ni 0.0000 0.0000 0.0000
P 0.5000 0.5000 0.5000
C 0.5000 0.5000 0.0000
O 0.0000 0.5000 0.5000
O 0.5000 0.0000 0.5000


Which structure is most stable, and how do the rest compare? From most to least stable: *b*, *a*.


*a*
! TcNi2CO GGA+U relaxed; values from VASP
! space-group type = P4/mmm, No. 123
! N(E_F) = 2.4 states/eV/cell
&SYSTEM
  ibrav = 0, nat = 5, ntyp = 4
/
ATOMIC_SPECIES
Tc 98.00 Tc.upf
Ni 58.69 Ni.upf
C 12.01 C.upf
O 16.00 O.upf
CELL_PARAMETERS angstrom
3.7914 0.0000 0.0000
0.0000 3.7914 0.0000
0.0000 0.0000 4.0550
ATOMIC_POSITIONS crystal
Tc 0.0000 0.0000 0.0000
Ni 0.0000 0.5000 0.5000
Ni 0.5000 0.0000 0.5000
C 0.0000 0.0000 0.5000
O 0.5000 0.5000 0.0000


*b*
! TcNi2CO GGA+U relaxed; values from VASP
! space-group type = P4/mmm, No. 123
! N(E_F) = 2.8 states/eV/cell
&SYSTEM
  ibrav = 0, nat = 5, ntyp = 4
/
ATOMIC_SPECIES
Tc 98.00 Tc.upf
Ni 58.69 Ni.upf
C 12.01 C.upf
O 16.00 O.upf
CELL_PARAMETERS angstrom
3.4908 0.0000 0.0000
0.0000 3.4908 0.0000
0.0000 0.0000 4.5675
ATOMIC_POSITIONS crystal
Tc 0.0000 0.0000 0.0000
Ni 0.0000 0.5000 0.5000
Ni 0.5000 0.0000 0.5000
C 0.5000 0.5000 0.0000
O 0.5000 0.5000 0.5000


Which structure is most stable, and how do the rest compare? From most to least stable: *a*, *b*.